## CaPaP2 (GGA-PBE)

Data for a geometry-optimized CaPaP2 structure.

Output
Total DFT energy (no corrections), eV/atom: -6.71
Total moment, μB/atom: 0.173
Space group: R3m (160)

a b c (Å): 4.0211 4.0211 7.2739
angles (deg): 73.95 73.95 60.00
With the nearest neighbours (Å) after each atom.
Sites, in units of the cell vectors:
P (0.2582, 0.2582, 0.2253)  3 Pa 2.82, 3 Ca 3.06
P (0.0771, 0.0771, 0.7687)  3 Pa 2.79, 3 Ca 2.91
Ca (0.4954, 0.4954, 0.5139)  6 P 2.91-3.06
Pa (0.6693, 0.6693, 0.9921)  6 P 2.79-2.82

## Ca2PaP (GGA-PBE)

Data for a geometry-optimized Ca2PaP structure.

Output
Total DFT energy (no corrections), eV/atom: -4.67
Total moment, μB/atom: 0.114
Space group: R-3m (166)

a b c (Å): 3.5083 3.5083 10.9009
angles (deg): 80.74 80.74 60.00
With the nearest neighbours (Å) after each atom.
Sites, in units of the cell vectors:
P (0.5000, 0.5000, 0.5000)  6 Ca 2.75
Pa (0.0000, 0.0000, 0.0000)  2 Ca 3.49, 6 Pa 3.51
Ca (0.1087, 0.1087, 0.6740)  3 P 2.75
Ca (0.8913, 0.8913, 0.3260)  3 P 2.75

## Ca5Pa3P8 (GGA-PBE)

Data for a geometry-optimized Ca5Pa3P8 structure.

Output
Total DFT energy (no corrections), eV/atom: -6.36
Total moment, μB/atom: 0.000
Space group: R-3m (166)

a b c (Å): 8.1791 8.1791 8.1242
angles (deg): 59.78 59.78 60.00
With the nearest neighbours (Å) after each atom.
Sites, in units of the cell vectors:
Pa (0.0000, 0.0000, 0.5000)  6 P 2.76-2.81
P (0.7501, 0.2289, 0.2709)  2 Pa 2.76, 4 Ca 2.88-3.00
Pa (0.0000, 0.5000, 0.5000)  6 P 2.76-2.81
Ca (0.5000, 0.0000, 0.0000)  6 P 2.96-3.00
P (0.7711, 0.2499, 0.7291)  2 Pa 2.76, 4 Ca 2.88-3.00
Ca (0.0000, 0.0000, 0.0000)  6 P 2.88
Ca (0.5000, 0.5000, 0.0000)  6 P 2.96-3.00
Pa (0.5000, 0.0000, 0.5000)  6 P 2.76-2.81
P (0.2432, 0.2432, 0.2703)  3 Pa 2.81, 3 Ca 2.96
P (0.7501, 0.7501, 0.2709)  2 Pa 2.76, 4 Ca 2.88-3.00
P (0.2499, 0.7711, 0.7291)  2 Pa 2.76, 4 Ca 2.88-3.00
P (0.2289, 0.7501, 0.2709)  2 Pa 2.76, 4 Ca 2.88-3.00
Ca (0.5000, 0.5000, 0.5000)  6 P 2.89
P (0.2499, 0.2499, 0.7291)  2 Pa 2.76, 4 Ca 2.88-3.00
Ca (0.0000, 0.5000, 0.0000)  6 P 2.96-3.00
P (0.7568, 0.7568, 0.7297)  3 Pa 2.81, 3 Ca 2.96